# 1
Compound: Sb2AsS2
Source: Alexandria
Functional: PBE
Structure: relaxed

Its total DFT energy (no corrections) is -4.3897 eV per atom. Its raw formation energy is -159.9 meV/atom.

The space group is C2/m (No. 12) and the conventional cell measures 11.070, 3.993 and 12.721 Å, with angles of 90.00, 114.47 and 90.00 degrees. The inequivalent atoms are Sb at (0.093, 0.000, 0.399), Sb at (0.219, 0.500, 0.169), As at (0.116, 0.000, 0.011), S at (0.036, 0.500, 0.238) and S at (0.173, 0.500, 0.573).

***

# 2
Compound: Sb3AsS6
Source: Alexandria
Functional: PBE
Structure: relaxed

Its total DFT energy (no corrections) is -4.3544 eV per atom. Its raw formation energy is -176.2 meV/atom. As for the energy above the most stable polymorph in this dataset: 32.1 meV/atom.

The space group is P2_1/m (No. 11) and the conventional cell measures 11.981, 3.812 and 12.616 Å, with angles of 90.00, 106.98 and 90.00 degrees. The inequivalent atoms are Sb at (0.063, 0.250, 0.138), Sb at (0.142, 0.750, 0.548), Sb at (0.435, 0.250, 0.646), As at (0.314, 0.750, 0.066), S at (0.044, 0.250, 0.388), S at (0.109, 0.250, 0.957), S at (0.233, 0.750, 0.210), S at (0.252, 0.250, 0.702), S at (0.374, 0.750, 0.506) and S at (0.442, 0.250, 0.129).

***

# 3
Compound: Sc4Sb2AsS
Source: Alexandria
Functional: PBE
Structure: relaxed

Its total DFT energy (no corrections) is -6.5547 eV per atom. Its raw formation energy is -1261.2 meV/atom.

The space group is P2/m (No. 10) and the conventional cell measures 6.833, 3.950 and 6.966 Å, with angles of 90.00, 109.03 and 90.00 degrees. The inequivalent atoms are Sc at (0.240, 0.000, 0.226), Sc at (0.256, 0.500, 0.774), Sb at (0.000, 0.000, 0.500), Sb at (0.500, 0.500, 0.500), As at (0.500, 0.000, 0.000) and S at (0.000, 0.500, 0.000).